{
  "formula": "Zr2GaFeO",
  "functional": "PBE+U",
  "state": "relaxed",
  "lattice_angstrom": [[5.1044, 0.0000, 0.0000], [0.0000, 4.3741, 0.0000], [0.0000, 0.0000, 5.1044]],
  "species": ["O", "Fe", "Ga", "Zr", "Zr"],
  "frac_coords": [[0.5000, 0.5000, 0.5000], [0.0000, 0.5000, 0.0000], [0.0000, 0.0000, 0.0000], [0.0000, 0.0000, 0.5000], [0.5000, 0.0000, 0.0000]],
  "volume_a3_per_atom": 22.8,
  "e_tot_ev_per_atom": -5.207,
  "sg": "P4/mmm (123)",
  "n_ef_per_ev_cell": 5.37
}